# 1
Entry from Alexandria via LeMat-Bulk: crystalline LiAgB at its relaxed geometry (PBE-GGA).

a = 2.9580 Å, b = 2.9580 Å, c = 10.4801 Å
α = 81.89°, β = 81.89°, γ = 60.00°
Atoms (fractional coordinates):
1 Ag 0.2940 0.2940 0.1180
2 Ag 0.7060 0.7060 0.8820
3 B 0.1667 0.1667 0.4998
4 B 0.8333 0.8333 0.5002
5 Li 0.4498 0.4498 0.6506
6 Li 0.5502 0.5502 0.3494

Properties
Crystal system: trigonal
Final energy, hartree per atom: -0.14498
Symmetry: R-3m (166)
ΔH_f (0 K), meV/atom: -131

# 2
Entry from Alexandria via LeMat-Bulk: crystalline Ac7La3Sm at its relaxed geometry (PBE-GGA).

a = 6.4799 Å, b = 9.1829 Å, c = 9.1829 Å
α = 85.27°, β = 110.60°, γ = 110.60°
Atoms (fractional coordinates):
1 Ac 0.2068 0.2066 0.2066
2 Ac 0.3100 0.0179 0.6026
3 Ac 0.6900 0.3974 0.9821
4 Ac 0.3100 0.6026 0.0179
5 Ac 0.0000 0.5000 0.5000
6 Ac 0.6900 0.9821 0.3974
7 Ac 0.7932 0.7934 0.7934
8 La 0.0000 0.7904 0.2096
9 La 0.5000 0.0000 0.0000
10 La 0.0000 0.2096 0.7904
11 Sm 0.5000 0.5000 0.5000

Properties
Crystal system: monoclinic
Final energy, hartree per atom: -0.15251
Symmetry: C2/m (12)
Offset from the most stable computed form, eV per formula unit: 1.16
ΔH_f (0 K), meV/atom: 237

# 3
Entry from Alexandria via LeMat-Bulk: crystalline Hf2AlGe4 at its relaxed geometry (PBE-GGA).

a = 3.7777 Å, b = 3.7777 Å, c = 9.2856 Å
α = 90.00°, β = 90.00°, γ = 90.00°
Atoms (fractional coordinates):
1 Hf 0.5000 0.0000 0.7337
2 Hf 0.0000 0.5000 0.2663
3 Al 0.5000 0.5000 0.0000
4 Ge 0.5000 0.0000 0.1811
5 Ge 0.0000 0.5000 0.8189
6 Ge 0.5000 0.5000 0.5000
7 Ge 0.0000 0.0000 0.5000

Properties
Crystal system: tetragonal
Final energy, hartree per atom: -0.23353
Symmetry: P-4m2 (115)
ΔH_f (0 K), meV/atom: -338

# 4
Entry from Alexandria via LeMat-Bulk: crystalline Y2AsOs at its relaxed geometry (PBE-GGA).

a = 3.5374 Å, b = 3.5374 Å, c = 6.8388 Å
α = 90.00°, β = 90.00°, γ = 89.99°
Atoms (fractional coordinates):
1 Y 0.0000 0.0000 0.9928
2 Y 0.0000 0.0000 0.5072
3 As 0.5000 0.5000 0.2500
4 Os 0.5000 0.5000 0.7500

Properties
Crystal system: tetragonal
Final energy, hartree per atom: -0.28589
Symmetry: P4/mmm (123)
Offset from the most stable computed form, eV per formula unit: 0.42
ΔH_f (0 K), meV/atom: -578

# 5
Entry from Alexandria via LeMat-Bulk: crystalline MgP at its relaxed geometry (PBE-GGA).

a = 4.0498 Å, b = 4.0498 Å, c = 5.2824 Å
α = 90.00°, β = 90.00°, γ = 120.00°
Atoms (fractional coordinates):
1 Mg 0.3333 0.6667 0.7500
2 Mg 0.6667 0.3333 0.2500
3 P 0.0000 0.0000 0.0000
4 P 0.0000 0.0000 0.5000

Properties
Crystal system: hexagonal
Final energy, hartree per atom: -0.14442
Symmetry: P6_3/mmc (194)
Offset from the most stable computed form, eV per formula unit: 0.18
ΔH_f (0 K), meV/atom: -428

# 6
Entry from Alexandria via LeMat-Bulk: crystalline GaSiNiRu at its relaxed geometry (PBE-GGA).

a = 4.1640 Å, b = 4.1640 Å, c = 4.1640 Å
α = 60.00°, β = 60.00°, γ = 60.00°
Atoms (fractional coordinates):
1 Ru 0.5000 0.5000 0.5000
2 Si 0.7500 0.7500 0.7500
3 Ga 0.2500 0.2500 0.2500
4 Ni 0.0000 0.0000 0.0000

Properties
Crystal system: cubic
Energy relative to the elements, uncorrected, meV per atom: -337
Final energy, hartree per atom: -0.22834
Symmetry: F-43m (216)

# 7
Entry from Alexandria via LeMat-Bulk: crystalline Ba2MgAu at its relaxed geometry (PBE-GGA).

a = 9.3448 Å, b = 9.3448 Å, c = 7.6739 Å
α = 52.49°, β = 52.49°, γ = 90.00°
Atoms (fractional coordinates):
1 Mg 0.5000 0.5000 0.0000
2 Mg 0.2500 0.7500 0.5000
3 Au 0.0000 0.0000 0.0000
4 Au 0.7500 0.2500 0.5000
5 Ba 0.6701 0.1250 0.2500
6 Ba 0.0799 0.6250 0.2500
7 Ba 0.3750 0.3299 0.7500
8 Ba 0.8750 0.9201 0.7500

Properties
Crystal system: tetragonal
Final energy, hartree per atom: -0.08501
Symmetry: I-42d (122)
ΔH_f (0 K), meV/atom: -134

# 8
Entry from Alexandria via LeMat-Bulk: crystalline Ca2Nd5Sm4 at its relaxed geometry (PBE-GGA).

a = 6.3813 Å, b = 9.7748 Å, c = 11.7096 Å
α = 127.05°, β = 136.87°, γ = 70.64°
Atoms (fractional coordinates):
1 Ca 0.9478 0.2705 0.3154
2 Ca 0.0522 0.7295 0.6846
3 Nd 0.1273 0.1866 0.0444
4 Nd 0.8727 0.8134 0.9556
5 Nd 0.5000 0.0000 0.5000
6 Nd 0.2277 0.6399 0.4048
7 Nd 0.7723 0.3601 0.5952
8 Sm 0.6087 0.4556 0.8760
9 Sm 0.3913 0.5444 0.1240
10 Sm 0.6870 0.9062 0.2349
11 Sm 0.3130 0.0938 0.7651

Properties
Crystal system: triclinic
Final energy, hartree per atom: -0.15433
Symmetry: P-1 (2)
ΔH_f (0 K), meV/atom: 48